Record 1
# NaIn4Ge2 (PBE, optimized geometry)
data_NaIn4Ge2
_cell_length_a 4.317
_cell_length_b 9.288
_cell_length_c 9.288
_cell_angle_alpha 90.00
_cell_angle_beta 90.00
_cell_angle_gamma 90.00
_space_group_name_H-M_alt 'P 1'
_space_group_IT_number 1
loop_
_space_group_symop_operation_xyz
'x,y,z'
loop_
_atom_site_label
_atom_site_fract_x
_atom_site_fract_y
_atom_site_fract_z
Na1 0.500 0.000 0.000
Na2 0.000 0.500 0.500
In1 0.000 0.085 0.330
In2 0.000 0.915 0.670
In3 0.500 0.170 0.585
In4 0.500 0.830 0.415
In5 0.500 0.415 0.830
In6 0.500 0.585 0.170
In7 0.000 0.330 0.085
In8 0.000 0.670 0.915
Ge1 0.000 0.199 0.801
Ge2 0.000 0.801 0.199
Ge3 0.500 0.699 0.699
Ge4 0.500 0.301 0.301
# M_tot = 0.00 μB per formula unit
# E_form = 0.03 eV/atom
# Final energy = -3.038 eV/atom
# Space-group type = P4_2/mnm



Record 2
# LiNdAlTl (PBE, optimized geometry)
data_LiNdAlTl
_cell_length_a 5.151
_cell_length_b 5.151
_cell_length_c 5.151
_cell_angle_alpha 60.00
_cell_angle_beta 60.00
_cell_angle_gamma 60.00
_space_group_name_H-M_alt 'P 1'
_space_group_IT_number 1
loop_
_space_group_symop_operation_xyz
'x,y,z'
loop_
_atom_site_label
_atom_site_fract_x
_atom_site_fract_y
_atom_site_fract_z
Tl1 0.000 0.000 0.000
Nd1 0.250 0.250 0.250
Al1 0.500 0.500 0.500
Li1 0.750 0.750 0.750
# M_tot = 0.00 μB per formula unit
# E_form = -0.24 eV/atom
# Final energy = -3.440 eV/atom
# Space-group type = F-43m



Record 3
# AcGeP2 (PBE, optimized geometry)
data_AcGeP2
_cell_length_a 3.824
_cell_length_b 3.824
_cell_length_c 7.066
_cell_angle_alpha 105.43
_cell_angle_beta 105.46
_cell_angle_gamma 89.99
_space_group_name_H-M_alt 'P 1'
_space_group_IT_number 1
loop_
_space_group_symop_operation_xyz
'x,y,z'
loop_
_atom_site_label
_atom_site_fract_x
_atom_site_fract_y
_atom_site_fract_z
Ac1 0.222 0.881 0.228
Ge1 0.469 0.633 0.728
P1 0.850 0.508 0.486
P2 0.594 0.253 0.970
# M_tot = 0.00 μB per formula unit
# E_form = -0.50 eV/atom
# Final energy = -5.391 eV/atom
# Offset from the most stable computed form = 0 meV per atom
# Space-group type = C2



Record 4
# UCuRu (PBE, optimized geometry)
data_UCuRu
_cell_length_a 3.317
_cell_length_b 3.841
_cell_length_c 9.263
_cell_angle_alpha 110.94
_cell_angle_beta 111.03
_cell_angle_gamma 89.99
_space_group_name_H-M_alt 'P 1'
_space_group_IT_number 1
loop_
_space_group_symop_operation_xyz
'x,y,z'
loop_
_atom_site_label
_atom_site_fract_x
_atom_site_fract_y
_atom_site_fract_z
Cu1 0.968 0.928 0.720
Cu2 0.032 0.072 0.280
Ru1 0.644 0.661 0.392
Ru2 0.356 0.339 0.608
U1 0.643 0.583 0.894
U2 0.357 0.417 0.106
# M_tot = 0.00 μB per formula unit
# E_form = 0.18 eV/atom
# Final energy = -8.039 eV/atom
# Space-group type = P-1



Which of these has the highest E_form? UCuRu



What is the final energy in the third record? -5.391 eV/atom



Which formula does entry 3 have? AcGeP2